Entry 1:
## Mg2Tc (GGA-PBE)

Data for an optimized crystal structure of Mg2Tc.

Calculated values
Offset from the most stable computed form, eV/atom: 0.827
Magnetization, μB per formula unit: 2.1
ΔE_f, eV/atom: 0.8325

abc: 6.437 6.437 6.437
angles: 90.00 90.00 90.00
Atoms (fractional coordinates):
Mg 0.250 0.250 0.250
Mg 0.250 0.250 0.750
Mg 0.250 0.750 0.250
Mg 0.250 0.750 0.750
Mg 0.750 0.250 0.250
Mg 0.750 0.250 0.750
Mg 0.750 0.750 0.250
Mg 0.750 0.750 0.750
Tc 0.000 0.000 0.000
Tc 0.000 0.500 0.500
Tc 0.500 0.000 0.500
Tc 0.500 0.500 0.000

---

Entry 2:
## Ag2PtPb (GGA-PBE)

Data for an optimized crystal structure of Ag2PtPb.

Calculated values
Magnetization, μB per formula unit: 0.0
ΔE_f, eV/atom: 0.0560

abc: 4.131 4.131 4.546
angles: 90.00 90.00 90.00
Atoms (fractional coordinates):
Ag 0.000 0.500 0.000
Ag 0.500 0.000 0.000
Pt 0.000 0.000 0.500
Pb 0.500 0.500 0.500

---

Entry 3:
## AlFe3Co (GGA-PBE)

Data for an optimized crystal structure of AlFe3Co.

Calculated values
Offset from the most stable computed form, eV/atom: 0.000
Magnetization, μB per formula unit: 9.8
ΔE_f, eV/atom: 0.8250

abc: 4.297 4.297 4.297
angles: 90.00 90.00 90.00
Atoms (fractional coordinates):
Al 0.000 0.000 0.000
Fe 0.000 0.500 0.500
Fe 0.500 0.000 0.500
Fe 0.500 0.500 0.000
Co 0.500 0.500 0.500

---

Entry 4:
## Na3Np2WN6 (GGA-PBE)

Data for an optimized crystal structure of Na3Np2WN6.

Calculated values
Magnetization, μB per formula unit: 5.0
E_form (uncorrected), kcal/mol of atoms: -16.2

abc: 5.761 5.761 6.012
angles: 99.09 99.09 120.05
Atoms (fractional coordinates):
Na 0.000 0.000 0.000
Na 0.340 0.660 0.000
Na 0.660 0.340 0.000
Np 0.167 0.833 0.500
Np 0.833 0.167 0.500
W 0.500 0.500 0.500
N 0.123 0.437 0.311
N 0.247 0.247 0.688
N 0.437 0.123 0.311
N 0.563 0.877 0.689
N 0.753 0.753 0.312
N 0.877 0.563 0.689

---

Entry 5:
## MgH8Pd6 (GGA-PBE)

Data for an optimized crystal structure of MgH8Pd6.

Calculated values
Offset from the most stable computed form, eV/atom: 0.000
Magnetization, μB per formula unit: 0.0

abc: 5.979 5.979 5.979
angles: 56.17 56.17 56.17
Atoms (fractional coordinates):
Mg 0.000 0.000 0.000
H 0.176 0.823 0.641
H 0.177 0.359 0.824
H 0.297 0.297 0.297
H 0.359 0.824 0.177
H 0.641 0.176 0.823
H 0.703 0.703 0.703
H 0.823 0.641 0.176
H 0.824 0.177 0.359
Pd 0.084 0.674 0.507
Pd 0.326 0.493 0.916
Pd 0.493 0.916 0.326
Pd 0.507 0.084 0.674
Pd 0.674 0.507 0.084
Pd 0.916 0.326 0.493

---

Entry 6:
## NdTm3Ni2 (GGA-PBE)

Data for an optimized crystal structure of NdTm3Ni2.

Calculated values
Magnetization, μB per formula unit: 0.0
ΔE_f, eV/atom: -0.1950

abc: 7.934 7.934 8.092
angles: 111.35 111.35 36.68
Atoms (fractional coordinates):
Nd 0.141 0.141 0.227
Nd 0.859 0.859 0.773
Tm 0.065 0.065 0.737
Tm 0.317 0.317 0.002
Tm 0.374 0.374 0.493
Tm 0.626 0.626 0.507
Tm 0.683 0.683 0.998
Tm 0.935 0.935 0.263
Ni 0.217 0.217 0.627
Ni 0.494 0.494 0.846
Ni 0.506 0.506 0.154
Ni 0.783 0.783 0.373

---

Number 1: density 3.65 g/cm³, V 22.23 Å³ per atom. Number 2: density 13.22 g/cm³, V 19.40 Å³ per atom. Number 3: density 5.30 g/cm³, V 15.87 Å³ per atom. Number 4: density 8.22 g/cm³, V 13.65 Å³ per atom. Number 5: density 8.09 g/cm³, V 9.18 Å³ per atom. Number 6: density 9.08 g/cm³, V 23.42 Å³ per atom.